No. 1
First-principles (GGA-PBE) data for In2AgPd6 after structural relaxation, as listed in Alexandria.

Results
As for the energy above the most stable polymorph in this dataset: 276 meV/atom. The calculation puts the calculated density at 9421 kg/m³. As for the formation energy from the elements: -0.072 eV per atom. As for the density of states at the Fermi level: 0.606 states/eV/atom.

a b c (Å): 4.6413 5.5583 7.2315
angles (deg): 112.60 87.44 90.00
Positions (direct):
Pd (0.5000, 0.2492, 0.0000)
Pd (0.2606, 0.9401, 0.3747)
Pd (0.7394, 0.5654, 0.6253)
Pd (0.7394, 0.0599, 0.6253)
Pd (0.5000, 0.7508, 0.0000)
Pd (0.2606, 0.4346, 0.3747)
In (0.2065, 0.3666, 0.7332)
In (0.7935, 0.6334, 0.2668)
Ag (0.0000, 0.0000, 0.0000)

***

No. 2
First-principles (GGA-PBE) data for RhPb5 after structural relaxation, as listed in Alexandria.

Results
As for the energy above the most stable polymorph in this dataset: 98 meV/atom. The calculation puts the calculated density at 10817 kg/m³. As for the formation energy from the elements: 0.104 eV per atom. As for the density of states at the Fermi level: 0.840 states/eV/atom.

a b c (Å): 9.5393 9.5393 5.5025
angles (deg): 90.00 90.00 159.56
Positions (direct):
Rh (0.1388, 0.8612, 0.5000)
Pb (0.3090, 0.6910, 0.0000)
Pb (0.9690, 0.0310, 0.0000)
Pb (0.7599, 0.2401, 0.5000)
Pb (0.6389, 0.3611, 0.0000)
Pb (0.5177, 0.4823, 0.5000)

***

No. 3
First-principles (GGA-PBE) data for Ni2SnP after structural relaxation, as listed in Alexandria.

Results
The calculation puts the calculated density at 7732 kg/m³. As for the formation energy from the elements: 0.094 eV per atom. As for the density of states at the Fermi level: 1.081 states/eV/atom.

a b c (Å): 4.3288 4.3288 4.3288
angles (deg): 60.00 60.00 60.00
Positions (direct):
Ni (0.2500, 0.2500, 0.2500)
Ni (0.7500, 0.7500, 0.7500)
Sn (0.5000, 0.5000, 0.5000)
P (0.0000, 0.0000, 0.0000)

***

No. 4
First-principles (GGA-PBE) data for BAuS2 after structural relaxation, as listed in Alexandria.

Results
The uncorrected formation energy comes out at 226 meV per atom. The calculation puts the calculated density at 7374 kg/m³. As for the density of states at the Fermi level: 0.279 states/eV/atom.

a b c (Å): 7.1867 7.1867 7.1867
angles (deg): 25.65 25.65 25.65
Positions (direct):
B (0.5000, 0.5000, 0.5000)
S (0.1123, 0.1123, 0.1123)
S (0.8877, 0.8877, 0.8877)
Au (0.0000, 0.0000, 0.0000)

***

No. 5
First-principles (GGA-PBE) data for CdIn3F after structural relaxation, as listed in Alexandria.

Results
As for the energy above the most stable polymorph in this dataset: 0 meV/atom. The uncorrected formation energy comes out at -463 meV per atom. The calculation puts the calculated density at 6020 kg/m³. As for the density of states at the Fermi level: 0.526 states/eV/atom.

a b c (Å): 5.0821 5.0821 5.0821
angles (deg): 90.00 90.00 90.00
Positions (direct):
In (0.0000, 0.5000, 0.0000)
In (0.5000, 0.0000, 0.0000)
In (0.0000, 0.0000, 0.5000)
Cd (0.5000, 0.5000, 0.5000)
F (0.0000, 0.0000, 0.0000)

***

No. 6
First-principles (GGA-PBE) data for NaCa3Pt after structural relaxation, as listed in Alexandria.

Results
As for the energy above the most stable polymorph in this dataset: 65 meV/atom. The calculation puts the calculated density at 3396 kg/m³. As for the formation energy from the elements: -0.403 eV per atom. As for the density of states at the Fermi level: 0.603 states/eV/atom.

a b c (Å): 13.0619 9.5960 9.5960
angles (deg): 87.37 125.21 54.79
Positions (direct):
Ca (0.5163, 0.0787, 0.3148)
Ca (0.1476, 0.8971, 0.9704)
Ca (0.9837, 0.8148, 0.5787)
Ca (0.0954, 0.2529, 0.1334)
Ca (0.0163, 0.1852, 0.4213)
Ca (0.3524, 0.4704, 0.3971)
Ca (0.9046, 0.7471, 0.8666)
Ca (0.4046, 0.6334, 0.7529)
Ca (0.5954, 0.3666, 0.2471)
Ca (0.4837, 0.9213, 0.6852)
Ca (0.6476, 0.5296, 0.6029)
Ca (0.8524, 0.1029, 0.0296)
Pt (0.2500, 0.8700, 0.3700)
Pt (0.7500, 0.1300, 0.6300)
Pt (0.7500, 0.4899, 0.9899)
Pt (0.2500, 0.5101, 0.0101)
Na (0.0680, 0.3799, 0.7416)
Na (0.5680, 0.7584, 0.1201)
Na (0.9320, 0.6201, 0.2584)
Na (0.4320, 0.2416, 0.8799)

***

No. 7
First-principles (GGA-PBE) data for VSiPCl2 after structural relaxation, as listed in Alexandria.

Results
As for the energy above the most stable polymorph in this dataset: 737 meV/atom. The uncorrected formation energy comes out at 901 meV per atom. The calculation puts the calculated density at 2825 kg/m³. As for the density of states at the Fermi level: 1.619 states/eV/atom.

a b c (Å): 4.7008 4.8124 4.7008
angles (deg): 90.00 90.00 90.00
Positions (direct):
Cl (0.5000, 0.0000, 0.0000)
Cl (0.0000, 0.0000, 0.5000)
P (0.0000, 0.0000, 0.0000)
V (0.0000, 0.5000, 0.0000)
Si (0.5000, 0.5000, 0.5000)

***

No. 8
First-principles (GGA-PBE) data for Pu12GeRu6 after structural relaxation, as listed in Alexandria.

Results
The calculation puts the calculated density at 15921 kg/m³. As for the formation energy from the elements: -0.062 eV per atom. As for the density of states at the Fermi level: 2.951 states/eV/atom.

a b c (Å): 7.2485 7.2485 7.2485
angles (deg): 95.01 95.01 95.01
Each line ends with the local moment (μB).
Positions (direct):
Pu (0.5245, 0.3987, 0.8254)  4.68
Pu (0.9068, 0.8416, 0.5958)  -4.58
Pu (0.1746, 0.4755, 0.6013)  4.68
Pu (0.8416, 0.5958, 0.9068)  -4.58
Pu (0.4755, 0.6013, 0.1746)  4.68
Pu (0.0932, 0.1584, 0.4042)  -4.58
Pu (0.5958, 0.9068, 0.8416)  -4.58
Pu (0.3987, 0.8254, 0.5245)  4.68
Pu (0.8254, 0.5245, 0.3987)  4.68
Pu (0.4042, 0.0932, 0.1584)  -4.58
Pu (0.6013, 0.1746, 0.4755)  4.68
Pu (0.1584, 0.4042, 0.0932)  -4.58
Ru (0.2289, 0.7495, 0.8923)  -0.03
Ru (0.2505, 0.1077, 0.7711)  -0.03
Ru (0.1077, 0.7711, 0.2505)  -0.03
Ru (0.8923, 0.2289, 0.7495)  -0.03
Ru (0.7495, 0.8923, 0.2289)  -0.03
Ru (0.7711, 0.2505, 0.1077)  -0.03
Ge (0.0000, 0.0000, 0.0000)  0.05

***

No. 9
First-principles (GGA-PBE) data for MgTa2P after structural relaxation, as listed in Alexandria.

Results
As for the energy above the most stable polymorph in this dataset: 68 meV/atom. The calculation puts the calculated density at 9058 kg/m³. As for the formation energy from the elements: -0.031 eV per atom. As for the density of states at the Fermi level: 0.518 states/eV/atom.

a b c (Å): 7.7974 7.7974 7.7974
angles (deg): 25.35 25.35 25.35
Positions (direct):
Ta (0.4766, 0.4766, 0.4766)
Ta (0.0234, 0.0234, 0.0234)
P (0.7500, 0.7500, 0.7500)
Mg (0.2500, 0.2500, 0.2500)

***

No. 10
First-principles (GGA-PBE) data for BaSrIn2 after structural relaxation, as listed in Alexandria.

Results
The calculation puts the calculated density at 5251 kg/m³. As for the formation energy from the elements: -0.253 eV per atom. As for the density of states at the Fermi level: 0.822 states/eV/atom.

a b c (Å): 6.4652 6.4652 6.4652
angles (deg): 132.58 132.58 69.31
Positions (direct):
In (0.0000, 0.0000, 0.0000)
In (0.2500, 0.7500, 0.5000)
Sr (0.5000, 0.5000, 0.0000)
Ba (0.7500, 0.2500, 0.5000)

***

No. 11
First-principles (GGA-PBE) data for Be4CdPd5 after structural relaxation, as listed in Alexandria.

Results
The calculation puts the calculated density at 9010 kg/m³. As for the formation energy from the elements: -0.555 eV per atom. As for the density of states at the Fermi level: 0.314 states/eV/atom.

a b c (Å): 2.8516 2.8516 15.4246
angles (deg): 90.00 90.00 90.00
Positions (direct):
Pd (0.5000, 0.5000, 0.1383)
Pd (0.5000, 0.5000, 0.6805)
Pd (0.5000, 0.5000, 0.8617)
Pd (0.5000, 0.5000, 0.3195)
Pd (0.5000, 0.5000, 0.5000)
Be (0.0000, 0.0000, 0.4094)
Be (0.0000, 0.0000, 0.7761)
Be (0.0000, 0.0000, 0.5906)
Be (0.0000, 0.0000, 0.2239)
Cd (0.0000, 0.0000, 0.0000)

***

No. 12
First-principles (GGA-PBE) data for RbBi2 after structural relaxation, as listed in Alexandria.

Results
The calculation puts the calculated density at 7385 kg/m³. As for the formation energy from the elements: -0.336 eV per atom. As for the density of states at the Fermi level: 0.274 states/eV/atom.

a b c (Å): 6.8410 6.8410 6.8410
angles (deg): 60.00 60.00 60.00
Positions (direct):
Rb (0.2500, 0.2500, 0.2500)
Rb (0.0000, 0.0000, 0.0000)
Bi (0.6250, 0.1250, 0.6250)
Bi (0.6250, 0.6250, 0.1250)
Bi (0.6250, 0.6250, 0.6250)
Bi (0.1250, 0.6250, 0.6250)